Entry 1:
# ErMg2Sc4 PBE relaxed
# **Energy of formation**: 17.350 kcal/mol of atoms
# **Symmetry**: I4/mmm (139)
# **E_tot**: -0.1460 Ha/atom
data_ErMg2Sc4
_chemical_formula_sum 'Er1 Mg2 Sc4'
_cell_length_a 8.5321
_cell_length_b 8.5321
_cell_length_c 8.5321
_cell_angle_alpha 144.73
_cell_angle_beta 144.73
_cell_angle_gamma 50.74
_space_group_name_H-M_alt 'P 1'
_space_group_IT_number 1
loop_
_space_group_symop_operation_xyz
'x,y,z'
loop_
_atom_site_label
_atom_site_type_symbol
_atom_site_fract_x
_atom_site_fract_y
_atom_site_fract_z
Er1 Er 0.0000 0.0000 0.0000
Mg1 Mg 0.3843 0.3843 0.0000
Mg2 Mg 0.6157 0.6157 0.0000
Sc1 Sc 0.0000 0.5000 0.5000
Sc2 Sc 0.1839 0.1839 0.0000
Sc3 Sc 0.5000 0.0000 0.5000
Sc4 Sc 0.8161 0.8161 0.0000

Entry 2:
# ErMgSc6 PBE relaxed
# **Energy of formation**: 0.902 kcal/mol of atoms
# **Symmetry**: P-6m2 (187)
# **E_tot**: -0.2014 Ha/atom
data_ErMgSc6
_chemical_formula_sum 'Er1 Mg1 Sc6'
_cell_length_a 6.6479
_cell_length_b 6.6479
_cell_length_c 5.2340
_cell_angle_alpha 90.00
_cell_angle_beta 90.00
_cell_angle_gamma 120.00
_space_group_name_H-M_alt 'P 1'
_space_group_IT_number 1
loop_
_space_group_symop_operation_xyz
'x,y,z'
loop_
_atom_site_label
_atom_site_type_symbol
_atom_site_fract_x
_atom_site_fract_y
_atom_site_fract_z
Er1 Er 0.0000 0.0000 0.0000
Mg1 Mg 0.3333 0.6667 0.5000
Sc1 Sc 0.3328 0.1664 0.5000
Sc2 Sc 0.5022 0.0044 0.0000
Sc3 Sc 0.5022 0.4978 0.0000
Sc4 Sc 0.8336 0.1664 0.5000
Sc5 Sc 0.8336 0.6672 0.5000
Sc6 Sc 0.9956 0.4978 0.0000

Entry 3:
# Er7Mg4Sc PBE relaxed
# **Energy of formation**: 4.111 kcal/mol of atoms
# **Symmetry**: C2/m (12)
# **E_tot**: -0.1302 Ha/atom
data_Er7Mg4Sc
_chemical_formula_sum 'Er7 Mg4 Sc1'
_cell_length_a 7.9561
_cell_length_b 7.9561
_cell_length_c 9.5389
_cell_angle_alpha 119.45
_cell_angle_beta 119.45
_cell_angle_gamma 41.45
_space_group_name_H-M_alt 'P 1'
_space_group_IT_number 1
loop_
_space_group_symop_operation_xyz
'x,y,z'
loop_
_atom_site_label
_atom_site_type_symbol
_atom_site_fract_x
_atom_site_fract_y
_atom_site_fract_z
Er1 Er 0.0000 0.0000 0.0000
Er2 Er 0.2554 0.2554 0.7193
Er3 Er 0.2979 0.2979 0.1214
Er4 Er 0.4205 0.4205 0.5756
Er5 Er 0.5795 0.5795 0.4244
Er6 Er 0.7021 0.7021 0.8786
Er7 Er 0.7446 0.7446 0.2807
Mg1 Mg 0.0443 0.0443 0.6973
Mg2 Mg 0.1743 0.1743 0.3493
Mg3 Mg 0.8257 0.8257 0.6507
Mg4 Mg 0.9557 0.9557 0.3027
Sc1 Sc 0.5000 0.5000 0.0000

Entry 4:
# ErMgSc2 PBE relaxed
# **Energy of formation**: 1.095 kcal/mol of atoms
# **Symmetry**: C2/m (12)
# **E_tot**: -0.1712 Ha/atom
data_ErMgSc2
_chemical_formula_sum 'Er2 Mg2 Sc4'
_cell_length_a 7.8419
_cell_length_b 7.8419
_cell_length_c 8.2037
_cell_angle_alpha 94.98
_cell_angle_beta 94.98
_cell_angle_gamma 24.07
_space_group_name_H-M_alt 'P 1'
_space_group_IT_number 1
loop_
_space_group_symop_operation_xyz
'x,y,z'
loop_
_atom_site_label
_atom_site_type_symbol
_atom_site_fract_x
_atom_site_fract_y
_atom_site_fract_z
Er1 Er 0.2342 0.2342 0.3142
Er2 Er 0.7658 0.7658 0.6858
Mg1 Mg 0.4650 0.4650 0.7922
Mg2 Mg 0.5350 0.5350 0.2078
Sc1 Sc 0.0884 0.0884 0.5649
Sc2 Sc 0.1493 0.1493 0.9429
Sc3 Sc 0.8507 0.8507 0.0571
Sc4 Sc 0.9116 0.9116 0.4351

Entry 5:
# Er2MgSc PBE relaxed
# **Energy of formation**: 6.077 kcal/mol of atoms
# **Symmetry**: R-3m (166)
# **E_tot**: -0.1470 Ha/atom
data_Er2MgSc
_chemical_formula_sum 'Er2 Mg1 Sc1'
_cell_length_a 12.0329
_cell_length_b 12.0329
_cell_length_c 12.0329
_cell_angle_alpha 15.82
_cell_angle_beta 15.82
_cell_angle_gamma 15.82
_space_group_name_H-M_alt 'P 1'
_space_group_IT_number 1
loop_
_space_group_symop_operation_xyz
'x,y,z'
loop_
_atom_site_label
_atom_site_type_symbol
_atom_site_fract_x
_atom_site_fract_y
_atom_site_fract_z
Er1 Er 0.0898 0.0898 0.0898
Er2 Er 0.9102 0.9102 0.9102
Mg1 Mg 0.5000 0.5000 0.5000
Sc1 Sc 0.0000 0.0000 0.0000

Entry 6:
# Er4Mg7Sc PBE relaxed
# **Energy of formation**: -0.264 kcal/mol of atoms
# **Symmetry**: P-3m1 (164)
# **E_tot**: -0.1099 Ha/atom
data_Er4Mg7Sc
_chemical_formula_sum 'Er4 Mg7 Sc1'
_cell_length_a 5.2110
_cell_length_b 5.2110
_cell_length_c 13.0943
_cell_angle_alpha 90.00
_cell_angle_beta 90.00
_cell_angle_gamma 120.00
_space_group_name_H-M_alt 'P 1'
_space_group_IT_number 1
loop_
_space_group_symop_operation_xyz
'x,y,z'
loop_
_atom_site_label
_atom_site_type_symbol
_atom_site_fract_x
_atom_site_fract_y
_atom_site_fract_z
Er1 Er 0.3333 0.6667 0.1572
Er2 Er 0.3333 0.6667 0.4193
Er3 Er 0.6667 0.3333 0.5807
Er4 Er 0.6667 0.3333 0.8428
Mg1 Mg 0.0000 0.0000 0.2560
Mg2 Mg 0.0000 0.0000 0.5000
Mg3 Mg 0.0000 0.0000 0.7440
Mg4 Mg 0.3333 0.6667 0.6826
Mg5 Mg 0.3333 0.6667 0.9192
Mg6 Mg 0.6667 0.3333 0.0808
Mg7 Mg 0.6667 0.3333 0.3174
Sc1 Sc 0.0000 0.0000 0.0000

Entry 7:
# Er8Mg2Sc PBE relaxed
# **Energy of formation**: 3.523 kcal/mol of atoms
# **Symmetry**: C2/m (12)
# **E_tot**: -0.1481 Ha/atom
data_Er8Mg2Sc
_chemical_formula_sum 'Er8 Mg2 Sc1'
_cell_length_a 8.7712
_cell_length_b 8.7712
_cell_length_c 5.5132
_cell_angle_alpha 102.01
_cell_angle_beta 102.01
_cell_angle_gamma 121.57
_space_group_name_H-M_alt 'P 1'
_space_group_IT_number 1
loop_
_space_group_symop_operation_xyz
'x,y,z'
loop_
_atom_site_label
_atom_site_type_symbol
_atom_site_fract_x
_atom_site_fract_y
_atom_site_fract_z
Er1 Er 0.0995 0.3192 0.6278
Er2 Er 0.2070 0.7930 0.0000
Er3 Er 0.3192 0.0995 0.6278
Er4 Er 0.3955 0.3955 0.2009
Er5 Er 0.6045 0.6045 0.7991
Er6 Er 0.6808 0.9005 0.3722
Er7 Er 0.7930 0.2070 0.0000
Er8 Er 0.9005 0.6808 0.3722
Mg1 Mg 0.3048 0.6952 0.5000
Mg2 Mg 0.6952 0.3048 0.5000
Sc1 Sc 0.0000 0.0000 0.0000

Entry 8:
# Er4Mg2Sc PBE relaxed
# **Energy of formation**: 6.621 kcal/mol of atoms
# **Symmetry**: R-3m (166)
# **E_tot**: -0.1352 Ha/atom
data_Er4Mg2Sc
_chemical_formula_sum 'Er4 Mg2 Sc1'
_cell_length_a 9.1014
_cell_length_b 9.1014
_cell_length_c 9.1014
_cell_angle_alpha 34.58
_cell_angle_beta 34.58
_cell_angle_gamma 34.58
_space_group_name_H-M_alt 'P 1'
_space_group_IT_number 1
loop_
_space_group_symop_operation_xyz
'x,y,z'
loop_
_atom_site_label
_atom_site_type_symbol
_atom_site_fract_x
_atom_site_fract_y
_atom_site_fract_z
Er1 Er 0.1301 0.1301 0.1301
Er2 Er 0.2554 0.2554 0.2554
Er3 Er 0.7446 0.7446 0.7446
Er4 Er 0.8699 0.8699 0.8699
Mg1 Mg 0.3792 0.3792 0.3792
Mg2 Mg 0.6208 0.6208 0.6208
Sc1 Sc 0.5000 0.5000 0.5000

Entry 9:
# ErMg4Sc2 PBE relaxed
# **Energy of formation**: 9.363 kcal/mol of atoms
# **Symmetry**: Cmmm (65)
# **E_tot**: -0.1090 Ha/atom
data_ErMg4Sc2
_chemical_formula_sum 'Er1 Mg4 Sc2'
_cell_length_a 6.5782
_cell_length_b 6.5782
_cell_length_c 5.5165
_cell_angle_alpha 90.00
_cell_angle_beta 90.00
_cell_angle_gamma 128.92
_space_group_name_H-M_alt 'P 1'
_space_group_IT_number 1
loop_
_space_group_symop_operation_xyz
'x,y,z'
loop_
_atom_site_label
_atom_site_type_symbol
_atom_site_fract_x
_atom_site_fract_y
_atom_site_fract_z
Er1 Er 0.0000 0.0000 0.0000
Mg1 Mg 0.1258 0.8742 0.5000
Mg2 Mg 0.2816 0.7184 0.0000
Mg3 Mg 0.7184 0.2816 0.0000
Mg4 Mg 0.8742 0.1258 0.5000
Sc1 Sc 0.3755 0.6245 0.5000
Sc2 Sc 0.6245 0.3755 0.5000

Entry 10:
# Er6MgSc2 PBE relaxed
# **Energy of formation**: 2.242 kcal/mol of atoms
# **Symmetry**: C2/m (12)
# **E_tot**: -0.1664 Ha/atom
data_Er6MgSc2
_chemical_formula_sum 'Er6 Mg1 Sc2'
_cell_length_a 9.3545
_cell_length_b 9.3545
_cell_length_c 3.3822
_cell_angle_alpha 99.97
_cell_angle_beta 99.97
_cell_angle_gamma 112.57
_space_group_name_H-M_alt 'P 1'
_space_group_IT_number 1
loop_
_space_group_symop_operation_xyz
'x,y,z'
loop_
_atom_site_label
_atom_site_type_symbol
_atom_site_fract_x
_atom_site_fract_y
_atom_site_fract_z
Er1 Er 0.0115 0.6569 0.8282
Er2 Er 0.3153 0.3153 0.8178
Er3 Er 0.3431 0.9885 0.1718
Er4 Er 0.6569 0.0115 0.8282
Er5 Er 0.6847 0.6847 0.1822
Er6 Er 0.9885 0.3431 0.1718
Mg1 Mg 0.0000 0.0000 0.0000
Sc1 Sc 0.3409 0.6591 0.5000
Sc2 Sc 0.6591 0.3409 0.5000

Entry 11:
# ErMgSc2 PBE relaxed
# **Energy of formation**: 2.286 kcal/mol of atoms
# **Symmetry**: Fm-3m (225)
# **E_tot**: -0.1693 Ha/atom
data_ErMgSc2
_chemical_formula_sum 'Er1 Mg1 Sc2'
_cell_length_a 5.2438
_cell_length_b 5.2438
_cell_length_c 5.2438
_cell_angle_alpha 60.00
_cell_angle_beta 60.00
_cell_angle_gamma 60.00
_space_group_name_H-M_alt 'P 1'
_space_group_IT_number 1
loop_
_space_group_symop_operation_xyz
'x,y,z'
loop_
_atom_site_label
_atom_site_type_symbol
_atom_site_fract_x
_atom_site_fract_y
_atom_site_fract_z
Er1 Er 0.0000 0.0000 0.0000
Mg1 Mg 0.5000 0.5000 0.5000
Sc1 Sc 0.2500 0.2500 0.2500
Sc2 Sc 0.7500 0.7500 0.7500

Entry 12:
# Er4Mg2Sc PBE relaxed
# **Energy of formation**: 1.012 kcal/mol of atoms
# **Symmetry**: Cmmm (65)
# **E_tot**: -0.1442 Ha/atom
data_Er4Mg2Sc
_chemical_formula_sum 'Er4 Mg2 Sc1'
_cell_length_a 17.0997
_cell_length_b 17.0997
_cell_length_c 3.3881
_cell_angle_alpha 90.00
_cell_angle_beta 90.00
_cell_angle_gamma 168.46
_space_group_name_H-M_alt 'P 1'
_space_group_IT_number 1
loop_
_space_group_symop_operation_xyz
'x,y,z'
loop_
_atom_site_label
_atom_site_type_symbol
_atom_site_fract_x
_atom_site_fract_y
_atom_site_fract_z
Er1 Er 0.0699 0.9301 0.0000
Er2 Er 0.3565 0.6435 0.5000
Er3 Er 0.6435 0.3565 0.5000
Er4 Er 0.9301 0.0699 0.0000
Mg1 Mg 0.2122 0.7878 0.0000
Mg2 Mg 0.7878 0.2122 0.0000
Sc1 Sc 0.5000 0.5000 0.5000